No. 1
Entry from Alexandria: a relaxed ZrTa2C crystal (GGA-PBE).

a b c (Å): 2.9582 2.9582 7.9288
angles (deg): 90.00 90.00 112.08
With the nearest neighbours (Å) after each atom.
Fractional coordinates of all 4 atoms:
Ta1 0.5000 0.5000 0.2397  6 Ta 2.89-2.96, 2 Zr 3.01
Ta2 0.0000 0.0000 0.9404  2 C 2.17
Zr1 0.0000 0.0000 0.5565  2 C 2.33
C1 0.5000 0.5000 0.7635  2 Ta 2.17, 2 Zr 2.33

Results
* formation energy: 53 meV/atom
* SG: No. 35


No. 2
Entry from Alexandria: a relaxed Re2Os5 crystal (GGA-PBE).

a b c (Å): 7.1338 7.1338 7.1338
angles (deg): 35.24 35.24 35.24
With the nearest neighbours (Å) after each atom.
Fractional coordinates of all 7 atoms:
Os1 0.7663 0.7663 0.7663  4 Re 2.49-2.72, 1 Os 2.72
Os2 0.5000 0.5000 0.5000  8 Os 2.62-2.83, 6 Re 2.85
Os3 0.2337 0.2337 0.2337  4 Re 2.49-2.72, 1 Os 2.72
Os4 0.3694 0.3694 0.3694  8 Os 2.62-2.88, 3 Re 2.79
Os5 0.6306 0.6306 0.6306  8 Os 2.62-2.88, 3 Re 2.79
Re1 0.9018 0.9018 0.9018  7 Os 2.49-2.79
Re2 0.0982 0.0982 0.0982  7 Os 2.49-2.79

Results
* formation energy: 456 meV/atom
* energy above the most stable polymorph in this dataset: 371 meV per atom
* SG: No. 166


No. 3
Entry from Alexandria: a relaxed MnCrIrS crystal (GGA-PBE).

a b c (Å): 3.5280 2.8611 10.4006
angles (deg): 90.00 89.94 90.00
With the nearest neighbours (Å) after each atom.
Fractional coordinates of all 8 atoms:
Cr1 0.2843 0.0000 0.1553  1 S 2.24
Cr2 0.2843 0.5000 0.6553  1 S 2.24
Ir1 0.7839 0.5000 0.2722  2 S 2.48-2.49, 4 Cr 2.58, 1 Mn 2.69
Ir2 0.7839 0.0000 0.7722  2 S 2.48-2.49, 4 Cr 2.58, 1 Mn 2.69
S1 0.2843 0.5000 0.4402  1 Cr 2.24, 4 Mn 2.39-2.40, 2 Ir 2.48-2.49
S2 0.2843 0.0000 0.9402  1 Cr 2.24, 4 Mn 2.39-2.40, 2 Ir 2.48-2.49
Mn1 0.7851 0.0000 0.5139  4 S 2.39-2.40
Mn2 0.7851 0.5000 0.0139  4 S 2.39-2.40

Results
* energy above the most stable polymorph in this dataset: 149 meV per atom
* energy relative to the elements, uncorrected: -0.02 eV/atom
* SG: No. 38


No. 4
Entry from Alexandria: a relaxed Li6SnRh2 crystal (GGA-PBE).

a b c (Å): 5.1434 6.8661 6.8661
angles (deg): 67.79 48.07 48.07
With the nearest neighbours (Å) after each atom.
Fractional coordinates of all 9 atoms:
Rh1 0.6673 0.3347 0.3347  1 Rh 2.59, 1 Sn 2.64, 8 Li 2.80-2.90
Rh2 0.3327 0.6653 0.6653  1 Rh 2.59, 1 Sn 2.64, 8 Li 2.80-2.90
Li1 0.8499 0.8249 0.4999  5 Li 2.49-2.68
Li2 0.8499 0.4999 0.8249  5 Li 2.49-2.68
Li3 0.5000 0.8248 0.1752  5 Li 2.49-2.68
Li4 0.1501 0.5001 0.1751  5 Li 2.49-2.68
Li5 0.5000 0.1752 0.8248  5 Li 2.49-2.68
Li6 0.1501 0.1751 0.5001  5 Li 2.49-2.68
Sn1 0.0000 0.0000 0.0000  2 Rh 2.64, 12 Li 2.90

Results
* formation energy: -250 meV/atom
* energy above the most stable polymorph in this dataset: 0 meV per atom
* SG: No. 12


No. 5
Entry from Alexandria: a relaxed CsLiMgTi2 crystal (GGA-PBE).

a b c (Å): 5.0428 5.8431 5.0428
angles (deg): 90.00 90.00 90.00
With the nearest neighbours (Å) after each atom.
Fractional coordinates of all 5 atoms:
Ti1 0.5000 0.0000 0.0000  2 Cs 2.52
Ti2 0.0000 0.0000 0.5000  2 Cs 2.52
Li1 0.5000 0.5000 0.5000  4 Mg 3.57, 8 Ti 3.86
Mg1 0.0000 0.5000 0.0000  2 Cs 2.92
Cs1 0.0000 0.0000 0.0000  4 Ti 2.52

Results
* formation energy: 1846 meV/atom
* SG: No. 123


No. 6
Entry from Alexandria: a relaxed YZnSn2Rh crystal (GGA-PBE).

a b c (Å): 4.9401 5.2305 4.9401
angles (deg): 90.00 90.00 90.00
With the nearest neighbours (Å) after each atom.
Fractional coordinates of all 5 atoms:
Sn1 0.5000 0.0000 0.0000  2 Zn 2.47
Sn2 0.0000 0.0000 0.5000  2 Zn 2.47
Rh1 0.5000 0.5000 0.5000  4 Y 3.49, 8 Sn 3.60
Zn1 0.0000 0.0000 0.0000  4 Sn 2.47, 2 Y 2.62
Y1 0.0000 0.5000 0.0000  2 Zn 2.62

Results
* formation energy: 496 meV/atom
* SG: No. 123